Material: Pr7TlRu2
Method: DFT, PBE
State: relaxed

Unit cell a=8.4472 b=8.4472 c=5.3441 alpha=90.00 beta=90.00 gamma=113.12
Last column: nearest neighbours and their distance in Å.
Fractional coordinates of all 10 atoms:
Pr 0.0000 0.0000 0.0000  2 Ru 2.78
Pr 0.1862 0.4460 0.0000  2 Ru 2.98-3.09
Pr 0.2190 0.7810 0.5000  2 Ru 2.69
Pr 0.4460 0.1862 0.0000  2 Ru 2.98-3.09
Pr 0.5540 0.8138 0.0000  2 Ru 2.98-3.09
Pr 0.7810 0.2190 0.5000  2 Ru 2.69
Pr 0.8138 0.5540 0.0000  2 Ru 2.98-3.09
Tl 0.5000 0.5000 0.5000  10 Pr 3.66-3.96
Ru 0.1971 0.8029 0.0000  5 Pr 2.69-2.98
Ru 0.8029 0.1971 0.0000  5 Pr 2.69-2.98

Output
* calculated formation energy: -2 kJ per mole of atoms
* total energy: -5.459 eV per atom
* size of the total moment: 0.0 μB/cell